Record 1
# CuSnPd3, optimized geometry, DFT PBE
data_CuSnPd3
_symmetry_space_group_name_H-M 'P 1'
_symmetry_Int_Tables_number 1
_cell_length_a 5.6188
_cell_length_b 7.4142
_cell_length_c 7.9237
_cell_angle_alpha 90.00
_cell_angle_beta 90.00
_cell_angle_gamma 90.00
loop_
_symmetry_equiv_pos_as_xyz
'x,y,z'
loop_
_atom_site_label
_atom_site_fract_x
_atom_site_fract_y
_atom_site_fract_z
_atom_site_occupancy
Pd1 0.2437 0.1452 0.7500 1
Pd2 0.1131 0.8244 0.9434 1
Pd3 0.7563 0.8548 0.2500 1
Pd4 0.1131 0.8244 0.5566 1
Pd5 0.7437 0.3548 0.7500 1
Pd6 0.6131 0.6756 0.5566 1
Pd7 0.3869 0.3244 0.4434 1
Pd8 0.8869 0.1756 0.4434 1
Pd9 0.6131 0.6756 0.9434 1
Pd10 0.8869 0.1756 0.0566 1
Pd11 0.3869 0.3244 0.0566 1
Pd12 0.2563 0.6452 0.2500 1
Sn1 0.2925 0.5131 0.7500 1
Sn2 0.7075 0.4869 0.2500 1
Sn3 0.2075 0.0131 0.2500 1
Sn4 0.7925 0.9869 0.7500 1
Cu1 0.5000 0.0000 0.0000 1
Cu2 0.5000 0.0000 0.5000 1
Cu3 0.0000 0.5000 0.5000 1
Cu4 0.0000 0.5000 0.0000 1
# N(E_F)	0.458	states/eV per atom
# distance to the lowest polymorph of the same formula	139	meV per atom
# space group	Pnma (62)



Record 2
# Cu2Sn2Pd7, optimized geometry, DFT PBE
data_Cu2Sn2Pd7
_symmetry_space_group_name_H-M 'P 1'
_symmetry_Int_Tables_number 1
_cell_length_a 5.9874
_cell_length_b 5.7097
_cell_length_c 5.9874
_cell_angle_alpha 89.99
_cell_angle_beta 97.36
_cell_angle_gamma 90.01
loop_
_symmetry_equiv_pos_as_xyz
'x,y,z'
loop_
_atom_site_label
_atom_site_fract_x
_atom_site_fract_y
_atom_site_fract_z
_atom_site_occupancy
Cu1 0.7242 0.0004 0.2758 1
Cu2 0.2758 0.9996 0.7242 1
Pd1 0.5003 0.7453 0.0001 1
Pd2 0.4999 0.2585 0.5001 1
Pd3 0.9999 0.7453 0.4997 1
Pd4 0.0000 0.0000 0.0000 1
Pd5 0.0001 0.2547 0.5003 1
Pd6 0.4997 0.2547 0.9999 1
Pd7 0.5001 0.7415 0.4999 1
Sn1 0.1992 0.5000 0.1992 1
Sn2 0.8008 0.5000 0.8008 1
# N(E_F)	0.636	states/eV per atom
# space group	Cmmm (65)



Record 3
# Cu5SnPd6, optimized geometry, DFT PBE
data_Cu5SnPd6
_symmetry_space_group_name_H-M 'P 1'
_symmetry_Int_Tables_number 1
_cell_length_a 7.9231
_cell_length_b 4.1373
_cell_length_c 6.5362
_cell_angle_alpha 71.55
_cell_angle_beta 80.50
_cell_angle_gamma 58.38
loop_
_symmetry_equiv_pos_as_xyz
'x,y,z'
loop_
_atom_site_label
_atom_site_fract_x
_atom_site_fract_y
_atom_site_fract_z
_atom_site_occupancy
Cu1 0.5001 0.1661 0.6670 1
Cu2 0.0000 0.3267 0.3467 1
Cu3 0.0000 0.6733 0.6533 1
Cu4 0.5000 0.5000 0.0000 1
Cu5 0.4999 0.8339 0.3330 1
Pd1 0.7433 0.0884 0.3361 1
Pd2 0.7425 0.7575 0.0001 1
Pd3 0.2575 0.2425 0.9999 1
Pd4 0.2567 0.9116 0.6639 1
Pd5 0.7430 0.4246 0.6640 1
Pd6 0.2570 0.5754 0.3360 1
Sn1 0.0000 0.0000 0.0000 1
# N(E_F)	0.325	states/eV per atom
# space group	P-1 (2)



Calculated formation energy per entry: -0.2333 0.0027 -0.2451 eV/atom